{
  "formula": "BaCoMoO6",
  "functional": "GGA+U",
  "state": "optimized geometry",
  "e_tot_ev_per_atom": -6.536,
  "spacegroup": "No. 5",
  "cell": [[2.589, -4.450, 0.000], [2.589, 4.450, 0.000], [-0.048, 0.000, 5.759]],
  "species": ["Ba", "Co", "Mo", "O", "O", "O", "O", "O", "O"],
  "fractional_positions": [[0.000, 0.000, 0.000], [0.670, 0.330, 0.500], [0.333, 0.667, 0.500], [0.400, 0.005, 0.690], [0.403, 0.396, 0.310], [0.604, 0.597, 0.690], [0.608, 0.008, 0.311], [0.992, 0.392, 0.689], [0.995, 0.600, 0.310]]
}